A geometry-optimized PaNbV structure. Source: the Alexandria database, functional PBE-GGA.

Unit cell a=3.219 b=3.219 c=6.455 alpha=90.00 beta=90.00 gamma=120.00
Atoms (fractional coordinates):
Nb  0.000  0.000  0.976
Pa  0.667  0.333  0.345
V  0.333  0.667  0.678

Properties
- theoretical density (Mg/m³) = 10.75
- spin magnetization (μB per cell) = 0.00
- symmetry = P3m1
- VASP energy (eV for the cell shown) = -27.6



A geometry-optimized PaNbV structure. Source: the Alexandria database, functional PBE-GGA.

Unit cell a=2.793 b=2.793 c=7.981 alpha=100.08 beta=100.08 gamma=90.00
Atoms (fractional coordinates):
Nb  0.957  0.957  0.914
Pa  0.772  0.772  0.545
V  0.121  0.121  0.242

Properties
- theoretical density (Mg/m³) = 10.32
- spin magnetization (μB per cell) = 0.00
- symmetry = I4mm
- VASP energy (eV for the cell shown) = -26.3



A geometry-optimized PaNbZn4 structure. Source: the Alexandria database, functional PBE-GGA.

Unit cell a=4.571 b=5.797 c=8.454 alpha=69.95 beta=90.00 gamma=90.00
Atoms (fractional coordinates):
Pa  0.750  0.625  0.250
Pa  0.250  0.375  0.750
Nb  0.750  0.136  0.229
Nb  0.250  0.864  0.771
Zn  0.250  0.809  0.420
Zn  0.250  0.965  0.088
Zn  0.750  0.729  0.580
Zn  0.750  0.553  0.912
Zn  0.750  0.191  0.580
Zn  0.250  0.271  0.420
Zn  0.750  0.035  0.912
Zn  0.250  0.447  0.088

Properties
- theoretical density (Mg/m³) = 9.24
- spin magnetization (μB per cell) = 0.00
- symmetry = Cmcm
- VASP energy (eV for the cell shown) = -49.6



A geometry-optimized PaNb2Zn9 structure. Source: the Alexandria database, functional PBE-GGA.

Unit cell a=5.180 b=5.180 c=8.786 alpha=72.85 beta=72.85 gamma=60.00
Last column: magnetic moment on the atom in μB.
Atoms (fractional coordinates):
Pa  0.000  0.000  0.000  0.46
Nb  0.856  0.856  0.432  0.02
Nb  0.144  0.144  0.568  0.02
Zn  0.665  0.665  0.006  0.01
Zn  0.335  0.335  0.994  0.01
Zn  0.500  0.500  0.500  0.00
Zn  0.408  0.408  0.262  0.00
Zn  0.922  0.408  0.262  0.00
Zn  0.408  0.922  0.262  0.00
Zn  0.592  0.592  0.738  0.00
Zn  0.592  0.078  0.738  0.00
Zn  0.078  0.592  0.738  0.00

Properties
- theoretical density (Mg/m³) = 8.70
- spin magnetization (μB per cell) = 0.54
- symmetry = R-3m
- VASP energy (eV for the cell shown) = -42.5



A geometry-optimized PaNbZn2 structure. Source: the Alexandria database, functional PBE-GGA.

Unit cell a=2.954 b=2.954 c=8.360 alpha=90.00 beta=90.00 gamma=90.00
Atoms (fractional coordinates):
Nb  0.500  0.500  0.000
Pa  0.500  0.500  0.500
Zn  0.000  0.000  0.774
Zn  0.000  0.000  0.226

Properties
- theoretical density (Mg/m³) = 10.35
- spin magnetization (μB per cell) = 0.01
- symmetry = P4/mmm
- VASP energy (eV for the cell shown) = -22.2



A geometry-optimized PaNbZn4 structure. Source: the Alexandria database, functional PBE-GGA.

Unit cell a=5.268 b=5.268 c=5.268 alpha=60.00 beta=60.00 gamma=60.00
Last column: magnetic moment on the atom in μB.
Atoms (fractional coordinates):
Nb  0.250  0.250  0.250  0.70
Pa  0.000  0.000  0.000  0.33
Zn  0.624  0.624  0.128  0.00
Zn  0.624  0.128  0.624  0.00
Zn  0.624  0.624  0.624  0.00
Zn  0.128  0.624  0.624  0.00

Properties
- theoretical density (Mg/m³) = 9.40
- spin magnetization (μB per cell) = 1.28
- symmetry = F-43m
- VASP energy (eV for the cell shown) = -25.1



A geometry-optimized PaNbZn2 structure. Source: the Alexandria database, functional PBE-GGA.

Unit cell a=2.975 b=2.975 c=10.064 alpha=81.50 beta=81.50 gamma=60.00
Atoms (fractional coordinates):
Nb  0.500  0.500  0.500
Pa  0.000  0.000  0.000
Zn  0.756  0.756  0.733
Zn  0.244  0.244  0.267

Properties
- theoretical density (Mg/m³) = 9.94
- spin magnetization (μB per cell) = 0.00
- symmetry = R-3m
- VASP energy (eV for the cell shown) = -21.7



A geometry-optimized ZrPaNb structure. Source: the Alexandria database, functional PBE-GGA.

Unit cell a=5.549 b=5.549 c=5.772 alpha=108.77 beta=108.77 gamma=109.30
Atoms (fractional coordinates):
Zr  0.674  0.326  0.000
Zr  0.326  0.674  0.000
Nb  0.827  0.827  0.654
Nb  0.173  0.173  0.346
Pa  0.750  0.250  0.500
Pa  0.250  0.750  0.500

Properties
- theoretical density (Mg/m³) = 9.89
- spin magnetization (μB per cell) = 0.00
- symmetry = Fmmm
- VASP energy (eV for the cell shown) = -53.1



A geometry-optimized ZrPaNb structure. Source: the Alexandria database, functional PBE-GGA.

Unit cell a=3.226 b=4.827 c=4.827 alpha=120.00 beta=90.00 gamma=90.00
Atoms (fractional coordinates):
Nb  0.630  0.333  0.667
Pa  0.383  0.667  0.333
Zr  0.986  0.000  0.000

Properties
- theoretical density (Mg/m³) = 10.59
- spin magnetization (μB per cell) = 0.00
- symmetry = P3m1
- VASP energy (eV for the cell shown) = -28.0



A geometry-optimized ZrPaNb2 structure. Source: the Alexandria database, functional PBE-GGA.

Unit cell a=4.915 b=4.915 c=4.915 alpha=60.00 beta=60.00 gamma=60.00
Atoms (fractional coordinates):
Nb  0.250  0.250  0.250
Nb  0.750  0.750  0.750
Pa  0.000  0.000  0.000
Zr  0.500  0.500  0.500

Properties
- theoretical density (Mg/m³) = 10.05
- spin magnetization (μB per cell) = 0.00
- symmetry = Fm-3m
- VASP energy (eV for the cell shown) = -38.0



A geometry-optimized ZrPa14Nb structure. Source: the Alexandria database, functional PBE-GGA.

Unit cell a=6.620 b=6.620 c=9.001 alpha=90.00 beta=90.00 gamma=93.39
Atoms (fractional coordinates):
Zr  0.338  0.662  0.500
Pa  0.862  0.138  0.000
Pa  0.384  0.616  0.000
Pa  0.401  0.149  0.500
Pa  0.371  0.125  0.000
Pa  0.851  0.599  0.500
Pa  0.875  0.629  0.000
Pa  0.120  0.372  0.256
Pa  0.120  0.372  0.744
Pa  0.628  0.880  0.256
Pa  0.628  0.880  0.744
Pa  0.625  0.375  0.273
Pa  0.625  0.375  0.727
Pa  0.125  0.875  0.237
Pa  0.125  0.875  0.763
Nb  0.921  0.079  0.500

Properties
- theoretical density (Mg/m³) = 14.42
- spin magnetization (μB per cell) = 0.00
- symmetry = Amm2
- VASP energy (eV for the cell shown) = -150.4



A geometry-optimized ZrPaNb structure. Source: the Alexandria database, functional PBE-GGA.

Unit cell a=3.502 b=3.502 c=5.852 alpha=107.41 beta=107.41 gamma=90.00
Atoms (fractional coordinates):
Nb  0.961  0.961  0.923
Pa  0.604  0.604  0.208
Zr  0.285  0.285  0.569

Properties
- theoretical density (Mg/m³) = 10.60
- spin magnetization (μB per cell) = 0.00
- symmetry = I4mm
- VASP energy (eV for the cell shown) = -28.0